1.
Crystalline NaSm2Lu at its relaxed geometry. Source: Alexandria via LeMat-Bulk, functional PBE.

Lattice parameters (Å, degrees): 3.5165 3.5165 38.1486 90.00 90.00 120.00
With the nearest neighbours (Å) after each atom.
Sites, in units of the cell vectors:
Na (0.0000, 0.0000, 0.0000)  6 Na 3.52, 2 Sm 3.54
Na (0.3333, 0.6667, 0.6667)  6 Na 3.52, 2 Sm 3.54
Na (0.6667, 0.3333, 0.3333)  6 Na 3.52, 2 Sm 3.54
Sm (0.0000, 0.0000, 0.0928)  3 Lu 3.47, 6 Sm 3.52, 1 Na 3.54
Sm (0.0000, 0.0000, 0.9072)  3 Lu 3.47, 6 Sm 3.52, 1 Na 3.54
Sm (0.3333, 0.6667, 0.5738)  3 Lu 3.47, 6 Sm 3.52, 1 Na 3.54
Sm (0.3333, 0.6667, 0.7595)  3 Lu 3.47, 6 Sm 3.52, 1 Na 3.54
Sm (0.6667, 0.3333, 0.2405)  3 Lu 3.47, 6 Sm 3.52, 1 Na 3.54
Sm (0.6667, 0.3333, 0.4262)  3 Lu 3.47, 6 Sm 3.52, 1 Na 3.54
Lu (0.0000, 0.0000, 0.5000)  6 Sm 3.47, 6 Lu 3.52
Lu (0.3333, 0.6667, 0.1667)  6 Sm 3.47, 6 Lu 3.52
Lu (0.6667, 0.3333, 0.8333)  6 Sm 3.47, 6 Lu 3.52

## Properties
DOS(E_F) ... 1.157 states/eV per atom
SG ... No. 166
Energy above the lowest structure with this stoichiometry ... 0.0223 eV per atom

2.
Crystalline MgVOs2 at its relaxed geometry. Source: Alexandria via LeMat-Bulk, functional PBE.

Lattice parameters (Å, degrees): 3.0294 3.0294 6.3370 90.00 90.00 90.00
With the nearest neighbours (Å) after each atom.
Sites, in units of the cell vectors:
Mg (0.0000, 0.0000, 0.0000)  8 Os 2.75, 4 Mg 3.03
V (0.0000, 0.0000, 0.5000)  8 Os 2.58
Os (0.5000, 0.5000, 0.2725)  4 V 2.58, 4 Mg 2.75, 1 Os 2.88
Os (0.5000, 0.5000, 0.7275)  4 V 2.58, 4 Mg 2.75, 1 Os 2.88

## Properties
DFT total energy ... -33.5 eV for the cell shown
DOS(E_F) ... 0.750 states/eV per atom
SG ... No. 123

3.
Crystalline Pr4Dy2ErMg at its relaxed geometry. Source: Alexandria via LeMat-Bulk, functional PBE.

Lattice parameters (Å, degrees): 5.8188 5.8188 7.7505 90.00 90.00 90.00
With the nearest neighbours (Å) after each atom.
Sites, in units of the cell vectors:
Pr (0.0000, 0.5000, 0.2408)  4 Dy 3.46-3.54, 2 Mg 3.46, 2 Er 3.54, 1 Pr 3.73
Pr (0.0000, 0.5000, 0.7592)  4 Dy 3.46-3.54, 2 Mg 3.46, 2 Er 3.54, 1 Pr 3.73
Pr (0.5000, 0.0000, 0.2408)  4 Dy 3.46-3.54, 2 Mg 3.46, 2 Er 3.54, 1 Pr 3.73
Pr (0.5000, 0.0000, 0.7592)  4 Dy 3.46-3.54, 2 Mg 3.46, 2 Er 3.54, 1 Pr 3.73
Dy (0.0000, 0.0000, 0.0000)  8 Pr 3.46
Dy (0.5000, 0.5000, 0.5000)  8 Pr 3.54, 2 Mg 3.88
Er (0.0000, 0.0000, 0.5000)  8 Pr 3.54, 2 Dy 3.88
Mg (0.5000, 0.5000, 0.0000)  8 Pr 3.46

## Properties
DFT total energy ... -34.1 eV for the cell shown
DOS(E_F) ... 1.296 states/eV per atom
SG ... No. 123

4.
Crystalline ScTlCo2 at its relaxed geometry. Source: Alexandria via LeMat-Bulk, functional PBE.

Lattice parameters (Å, degrees): 8.5818 3.1293 5.0722 90.00 103.92 90.00
With the nearest neighbours (Å) after each atom.
Sites, in units of the cell vectors:
Sc (0.0000, 0.0000, 0.0000)  6 Co 2.65
Sc (0.5000, 0.5000, 0.0000)  6 Co 2.65
Tl (0.0000, 0.5000, 0.5000)  6 Co 2.78-2.84, 4 Sc 2.98
Tl (0.5000, 0.0000, 0.5000)  6 Co 2.78-2.84, 4 Sc 2.98
Co (0.2472, 0.5000, 0.2155)  3 Sc 2.65, 2 Co 2.70, 3 Tl 2.78-2.84
Co (0.2528, 0.0000, 0.7845)  3 Sc 2.65, 2 Co 2.70, 3 Tl 2.78-2.84
Co (0.7472, 0.0000, 0.2155)  3 Sc 2.65, 2 Co 2.70, 3 Tl 2.78-2.84
Co (0.7528, 0.5000, 0.7845)  3 Sc 2.65, 2 Co 2.70, 3 Tl 2.78-2.84

## Properties
DFT total energy ... -44.0 eV for the cell shown
DOS(E_F) ... 1.144 states/eV per atom
SG ... No. 12

5.
Crystalline K2LiInF6 at its relaxed geometry. Source: Alexandria via LeMat-Bulk, functional PBE.

Lattice parameters (Å, degrees): 5.9284 5.9284 5.9284 60.00 60.00 60.00
With the nearest neighbours (Å) after each atom.
Sites, in units of the cell vectors:
K (0.2500, 0.2500, 0.2500)  12 F 2.96
K (0.7500, 0.7500, 0.7500)  12 F 2.96
Li (0.0000, 0.0000, 0.0000)  6 F 2.09
In (0.5000, 0.5000, 0.5000)  6 F 2.10
F (0.2490, 0.2490, 0.7510)  1 Li 2.09, 1 In 2.10
F (0.2490, 0.7510, 0.2490)  1 Li 2.09, 1 In 2.10
F (0.2490, 0.7510, 0.7510)  1 Li 2.09, 1 In 2.10
F (0.7510, 0.2490, 0.2490)  1 Li 2.09, 1 In 2.10
F (0.7510, 0.2490, 0.7510)  1 Li 2.09, 1 In 2.10
F (0.7510, 0.7510, 0.2490)  1 Li 2.09, 1 In 2.10

## Properties
Formation energy (no corrections) ... -2.776 eV/atom
DOS(E_F) ... 0.000 states/eV per atom
SG ... No. 225

6.
Crystalline Ca3Pr2TaN6 at its relaxed geometry. Source: Alexandria via LeMat-Bulk, functional PBE.

Lattice parameters (Å, degrees): 6.0875 6.0875 6.0468 99.58 99.58 120.16
With the nearest neighbours (Å) after each atom.
Sites, in units of the cell vectors:
Ca (0.0000, 0.0000, 0.0000)  6 N 2.48-2.77
Ca (0.3415, 0.6585, 0.0000)  4 N 2.44-2.46
Ca (0.6585, 0.3415, 0.0000)  4 N 2.44-2.46
Pr (0.1671, 0.8329, 0.5000)  6 N 2.50-2.52
Pr (0.8329, 0.1671, 0.5000)  6 N 2.50-2.52
Ta (0.5000, 0.5000, 0.5000)  6 N 2.18-2.19
N (0.1334, 0.4252, 0.2749)  1 Ta 2.19
N (0.2795, 0.2795, 0.7193)  1 Ta 2.18
N (0.4252, 0.1334, 0.2749)  1 Ta 2.19
N (0.5748, 0.8666, 0.7251)  1 Ta 2.19
N (0.7205, 0.7205, 0.2807)  1 Ta 2.18
N (0.8666, 0.5748, 0.7251)  1 Ta 2.19

## Properties
Formation energy (no corrections) ... -1.076 eV/atom
DOS(E_F) ... 0.941 states/eV per atom
SG ... No. 12

7.
Crystalline Ac3B2Rh7 at its relaxed geometry. Source: Alexandria via LeMat-Bulk, functional PBE.

Lattice parameters (Å, degrees): 11.4678 11.4678 4.3652 90.00 90.00 158.02
With the nearest neighbours (Å) after each atom.
Sites, in units of the cell vectors:
Ac (0.0000, 0.0000, 0.0000)  12 Rh 3.07-3.09
Ac (0.1871, 0.8129, 0.0000)  8 Rh 2.99-3.09
Ac (0.8129, 0.1871, 0.0000)  8 Rh 2.99-3.09
B (0.4021, 0.5979, 0.5000)  6 Rh 2.14-2.20
B (0.5979, 0.4021, 0.5000)  6 Rh 2.14-2.20
Rh (0.0961, 0.9039, 0.5000)  2 B 2.19
Rh (0.3071, 0.6929, 0.5000)  1 B 2.14
Rh (0.4041, 0.5959, 0.0000)  2 B 2.18
Rh (0.5000, 0.5000, 0.5000)  2 B 2.20
Rh (0.5959, 0.4041, 0.0000)  2 B 2.18
Rh (0.6929, 0.3071, 0.5000)  1 B 2.14
Rh (0.9039, 0.0961, 0.5000)  2 B 2.19

## Properties
DFT total energy ... -84.2 eV for the cell shown
DOS(E_F) ... 0.864 states/eV per atom
SG ... No. 65

8.
Crystalline Th5TcPd2 at its relaxed geometry. Source: Alexandria via LeMat-Bulk, functional PBE.

Lattice parameters (Å, degrees): 8.1875 11.6866 4.4645 90.00 90.00 90.00
With the nearest neighbours (Å) after each atom.
Sites, in units of the cell vectors:
Th (0.0000, 0.0000, 0.0000)  4 Pd 3.09
Th (0.1455, 0.2881, 0.0000)  1 Tc 2.75
Th (0.1912, 0.5753, 0.5000)  2 Tc 2.87, 1 Pd 3.08
Th (0.3088, 0.0753, 0.5000)  2 Tc 2.87, 1 Pd 3.08
Th (0.3545, 0.7881, 0.0000)  1 Tc 2.75
Th (0.5000, 0.5000, 0.0000)  4 Pd 3.09
Th (0.6455, 0.2119, 0.0000)  1 Tc 2.75
Th (0.6912, 0.9247, 0.5000)  2 Tc 2.87, 1 Pd 3.08
Th (0.8088, 0.4247, 0.5000)  2 Tc 2.87, 1 Pd 3.08
Th (0.8545, 0.7119, 0.0000)  1 Tc 2.75
Tc (0.0000, 0.5000, 0.0000)  6 Th 2.75-2.87
Tc (0.5000, 0.0000, 0.0000)  6 Th 2.75-2.87
Pd (0.0925, 0.8292, 0.5000)  8 Th 3.08-3.38
Pd (0.4075, 0.3292, 0.5000)  8 Th 3.08-3.38
Pd (0.5925, 0.6708, 0.5000)  8 Th 3.08-3.38
Pd (0.9075, 0.1708, 0.5000)  8 Th 3.08-3.38

## Properties
DFT total energy ... -122.1 eV for the cell shown
DOS(E_F) ... 1.099 states/eV per atom
SG ... No. 55